6
Lattice="-2.813 -2.312 -3.265 2.996 -3.863 0.154 -3.801 -2.739 5.214" Properties=species:S:1:pos:R:3 comment="PBE Tm4ZnAg, optimized geometry" space_group="P4/mmm (123)" total_energy_ha_per_atom=-0.13444 formation_enthalpy_0k_ev_per_atom=0.01 pbc="T T T"
Tm -1.338 -3.960 3.947
Tm 0.615 -5.704 -0.162
Tm -1.247 -7.047 2.391
Tm 0.523 -2.617 1.393
Zn 1.090 -5.219 2.747
Ag -3.714 -5.814 3.645


8
Lattice="3.558 0.000 0.000 0.000 3.558 0.000 0.000 0.000 14.352" Properties=species:S:1:pos:R:3 comment="PBE Tm4ZnAg3, optimized geometry" space_group="P4/mmm (123)" total_energy_ha_per_atom=-0.13999 formation_enthalpy_0k_ev_per_atom=-0.34 pbc="T T T"
Tm 0.000 0.000 12.632
Tm 0.000 0.000 8.998
Tm 0.000 0.000 5.355
Tm 0.000 0.000 1.720
Zn 1.779 1.779 0.000
Ag 1.779 1.779 10.828
Ag 1.779 1.779 3.525
Ag 1.779 1.779 7.176


4
Lattice="-2.869 2.459 -3.322 -0.938 -2.034 -4.504 -4.610 -1.696 -1.083" Properties=species:S:1:pos:R:3 comment="PBE Tm2ZnAg, optimized geometry" space_group="Fm-3m (225)" total_energy_ha_per_atom=-0.13243 formation_enthalpy_0k_ev_per_atom=-0.34 pbc="T T T"
Ag -4.209 -0.636 -4.455
Zn 0.000 0.000 0.000
Tm -6.313 -0.953 -6.682
Tm -2.104 -0.318 -2.227


4
Lattice="3.555 0.000 0.000 0.000 3.555 0.000 0.000 0.000 7.094" Properties=species:S:1:pos:R:3 comment="PBE Tm2ZnAg, optimized geometry" space_group="P4/mmm (123)" total_energy_ha_per_atom=-0.13291 formation_enthalpy_0k_ev_per_atom=-0.35 pbc="T T T"
Tm 0.000 0.000 1.729
Tm 0.000 0.000 5.365
Ag 1.777 1.777 3.547
Zn 1.777 1.777 0.000


8
Lattice="-1.270 -2.953 1.396 5.011 -4.544 -0.653 3.445 -0.818 5.801" Properties=species:S:1:pos:R:3 comment="PBE TmZn5Ag2, optimized geometry" space_group="Immm (71)" total_energy_ha_per_atom=-0.08077 formation_enthalpy_0k_ev_per_atom=-0.13 pbc="T T T"
Zn 2.069 -3.102 4.118
Zn 5.117 -5.213 2.427
Zn 4.228 -2.681 2.574
Zn 2.705 -4.616 1.496
Zn 4.480 -3.700 5.048
Tm 0.000 0.000 0.000
Ag 1.741 -2.065 1.615
Ag 5.445 -6.250 4.930


11
Lattice="-2.530 -3.009 -2.683 5.855 -3.905 -1.142 -3.311 0.238 7.076" Properties=species:S:1:pos:R:3 comment="PBE Tm2ZnAg8, optimized geometry" space_group="C2/m (12)" total_energy_ha_per_atom=-0.11519 formation_enthalpy_0k_ev_per_atom=-0.13 pbc="T T T"
Ag 1.708 -1.375 -0.069
Ag -0.575 -0.821 1.463
Ag 0.589 -5.854 1.788
Ag -1.694 -5.301 3.321
Ag -0.144 -3.673 0.033
Ag 0.158 -3.003 3.218
Ag 2.311 -4.639 -1.198
Ag -2.297 -2.036 4.449
Tm -2.579 -3.045 1.626
Tm 2.593 -3.630 1.626
Zn -1.265 -1.504 -1.341


20
Lattice="8.309 0.000 0.000 -2.770 7.834 0.000 -2.770 -3.917 6.784" Properties=species:S:1:pos:R:3 comment="PBE TmZn12Ag7, optimized geometry" space_group="Im-3 (204)" total_energy_ha_per_atom=-0.06207 formation_enthalpy_0k_ev_per_atom=0.30 pbc="T T T"
Zn -3.192 4.009 4.921
Zn 3.465 1.673 4.921
Zn 5.962 -0.092 1.863
Zn 3.192 -2.257 5.932
Zn 2.074 4.409 3.910
Zn 2.347 1.567 1.011
Zn -2.074 -1.182 5.773
Zn 4.844 5.098 1.011
Zn -0.695 2.244 1.863
Zn 0.423 2.349 5.773
Zn -0.423 6.174 0.852
Zn 0.695 -0.492 2.874
Ag 2.770 3.917 0.000
Ag 2.770 -1.958 3.392
Ag -2.770 1.958 3.392
Ag 4.154 0.000 0.000
Ag -1.385 3.917 0.000
Ag 1.385 1.958 3.392
Ag -1.385 -1.958 3.392
Tm 0.000 0.000 0.000


10
Lattice="4.523 0.000 0.000 0.000 6.176 0.481 0.000 -0.935 6.732" Properties=species:S:1:pos:R:3 comment="PBE TmZnAg3, optimized geometry" space_group="P2_1/m (11)" total_energy_ha_per_atom=-0.11258 formation_enthalpy_0k_ev_per_atom=-0.20 pbc="T T T"
Zn 1.723 4.239 4.335
Zn 3.985 5.350 1.897
Ag 1.723 -0.875 6.348
Ag 3.985 2.849 3.307
Ag 1.723 1.739 5.130
Ag 3.985 1.674 0.621
Ag 3.985 3.354 6.135
Ag 1.723 0.565 2.444
Tm 3.985 -0.067 4.362
Tm 1.723 3.480 1.389